Run i
Computed, not measured: Tb2Sm2Er3 after structural relaxation at the PBE level of DFT.

a = 5.0289 Å, b = 6.1481 Å, c = 7.9575 Å
α = 97.48°, β = 90.00°, γ = 114.14°
Atoms (fractional coordinates):
Tb 0.7861 0.5723 0.8565
Tb 0.2139 0.4277 0.1435
Sm 0.9286 0.8572 0.2857
Sm 0.0714 0.1428 0.7143
Er 0.5000 0.0000 0.0000
Er 0.6432 0.2864 0.4284
Er 0.3568 0.7136 0.5716

Summary:
As for the space group: No. 12. The value obtained for the density is 8372 kg/m³.


Run ii
Computed, not measured: Tb2Sm2Er3 after structural relaxation at the PBE level of DFT.

a = 8.3951 Å, b = 8.3951 Å, c = 8.3951 Å
α = 109.47°, β = 109.47°, γ = 109.47°
Atoms (fractional coordinates):
Tb 0.0000 0.0000 0.4172
Tb 0.5000 0.4172 0.5000
Tb 0.5828 0.0828 0.0828
Tb 0.9172 0.5000 0.0000
Sm 0.0000 0.0000 0.8128
Sm 0.5000 0.8128 0.5000
Sm 0.1872 0.6872 0.6872
Sm 0.3128 0.5000 0.0000
Er 0.6943 0.7500 0.9443
Er 0.8057 0.2500 0.5557
Er 0.0557 0.3057 0.2500
Er 0.4443 0.1943 0.7500
Er 0.2500 0.9443 0.1943
Er 0.7500 0.5557 0.3057

Summary:
As for the space group: No. 199. The value obtained for the density is 8169 kg/m³.


Stability, highest: run i


Run i
Computed, not measured: Tb2SmEr3 after structural relaxation at the PBE level of DFT.

a = 5.5694 Å, b = 8.8830 Å, c = 8.8830 Å
α = 111.63°, β = 90.00°, γ = 90.00°
Atoms (fractional coordinates):
Tb 0.4930 0.7087 0.4891
Tb 0.9930 0.5109 0.2913
Tb 0.4930 0.4891 0.7087
Tb 0.9930 0.2913 0.5109
Sm 0.9926 0.7383 0.7383
Sm 0.4926 0.2617 0.2617
Er 0.9935 0.8895 0.3649
Er 0.4935 0.6351 0.1105
Er 0.9935 0.3649 0.8895
Er 0.4935 0.1105 0.6351
Er 0.4923 0.9090 0.9090
Er 0.9923 0.0910 0.0910

Summary:
As for the space group: No. 63. The value obtained for the density is 7885 kg/m³.


Run ii
Computed, not measured: Tb2SmEr3 after structural relaxation at the PBE level of DFT.

a = 6.1303 Å, b = 7.0875 Å, c = 9.3790 Å
α = 112.20°, β = 89.89°, γ = 90.00°
Atoms (fractional coordinates):
Tb 0.5827 0.5420 0.3340
Tb 0.0827 0.7920 0.3340
Tb 0.9173 0.2080 0.6660
Tb 0.4173 0.4580 0.6660
Sm 0.7500 0.1251 0.0000
Sm 0.2500 0.8749 0.0000
Er 0.2500 0.3757 0.0000
Er 0.7500 0.6243 0.0000
Er 0.0838 0.2926 0.3347
Er 0.4162 0.9579 0.6653
Er 0.5838 0.0421 0.3347
Er 0.9162 0.7074 0.6653

Summary:
As for the space group: No. 15. The value obtained for the density is 8538 kg/m³.


Stability, highest: run ii


Run i
Computed, not measured: Tb8Sm3Er2 after structural relaxation at the PBE level of DFT.

a = 5.6582 Å, b = 7.6953 Å, c = 10.7326 Å
α = 111.01°, β = 90.03°, γ = 90.00°
Atoms (fractional coordinates):
Tb 0.0008 0.6715 0.3431
Tb 0.9992 0.3285 0.6569
Tb 0.9996 0.1347 0.2694
Tb 0.0004 0.8653 0.7306
Tb 0.4998 0.6005 0.7826
Tb 0.4998 0.1820 0.7826
Tb 0.5002 0.8180 0.2174
Tb 0.5002 0.3995 0.2174
Sm 0.5000 0.0000 0.0000
Sm 0.0000 0.2898 0.0000
Sm 0.0000 0.7102 0.0000
Er 0.4990 0.2414 0.4827
Er 0.5010 0.7586 0.5173

Summary:
As for the space group: No. 12. The value obtained for the density is 7830 kg/m³.


Run ii
Computed, not measured: Tb8Sm3Er2 after structural relaxation at the PBE level of DFT.

a = 5.0420 Å, b = 7.9838 Å, c = 12.8627 Å
α = 55.97°, β = 101.28°, γ = 90.01°
Atoms (fractional coordinates):
Tb 0.0782 0.4589 0.1562
Tb 0.9218 0.5411 0.8438
Tb 0.1552 0.9195 0.3103
Tb 0.8448 0.0805 0.6897
Tb 0.3070 0.8475 0.6142
Tb 0.3830 0.3115 0.7661
Tb 0.6170 0.6885 0.2339
Tb 0.6930 0.1525 0.3858
Sm 0.0000 0.0000 0.0000
Sm 0.5387 0.2298 0.0775
Sm 0.4613 0.7702 0.9225
Er 0.7689 0.6155 0.5379
Er 0.2311 0.3845 0.4621

Summary:
As for the space group: No. 12. The value obtained for the density is 8191 kg/m³.


Stability, highest: run ii